Record 1
Below is crystalline K4CdBi3 at its relaxed geometry, with properties calculated at the PBE level.

It has space group Pmm2 (No. 25), with a = 4.908 Å, b = 5.563 Å, c = 12.813 Å, α = 90.00°, β = 90.00° and γ = 90.00°. The distinct sites, in fractional coordinates, are K at (0.000, 0.000, 0.000), K at (0.000, 0.500, 0.494), K at (0.500, 0.000, 0.723), K at (0.500, 0.500, 0.222), Cd at (0.000, 0.500, 0.797), Bi at (0.000, 0.000, 0.288), Bi at (0.500, 0.000, 0.434) and Bi at (0.500, 0.500, 0.924).

Its electronic total energy is -19.29 eV per formula unit.

---

Record 2
Below is crystalline KCd2Bi at its relaxed geometry, with properties calculated at the PBE level.

It has space group Cmcm (No. 63), with a = 5.278 Å, b = 12.111 Å, c = 7.706 Å, α = 90.00°, β = 90.00° and γ = 90.00°. The distinct sites, in fractional coordinates, are K at (0.000, 0.085, 0.250), Cd at (0.000, 0.385, 0.051) and Bi at (0.000, 0.209, 0.750).

Its electronic total energy is -7.61 eV per formula unit.

---

Record 3
Below is crystalline KCd2Bi at its relaxed geometry, with properties calculated at the PBE level.

It has space group I4_1/amd (No. 141, origin choice 2), with a = 5.654 Å, b = 5.654 Å, c = 21.451 Å, α = 90.00°, β = 90.00° and γ = 90.00°. The distinct sites, in fractional coordinates, are K at (0.000, 0.250, 0.375), Cd at (0.000, 0.000, 0.000) and Bi at (0.000, 0.250, 0.875).

Its electronic total energy is -6.98 eV per formula unit.

---

Record 4
Below is crystalline KCd4Bi2 at its relaxed geometry, with properties calculated at the PBE level.

It has space group R-3m (No. 166, hexagonal axes), with a = 5.3947 Å, b = 5.3947 Å, c = 27.0160 Å, α = 90.00°, β = 90.00° and γ = 120.00°. The distinct sites, in fractional coordinates, are K at (0.0000, 0.0000, 0.0000), Cd at (0.0000, 0.0000, 0.1317), Cd at (0.0000, 0.0000, 0.4442) and Bi at (0.0000, 0.0000, 0.2434).

Its electronic total energy is -13.07 eV per formula unit.

---

Record 5
Below is crystalline K3CdBi at its relaxed geometry, with properties calculated at the PBE level.

It has space group Pm-3m (No. 221), with a = 6.875 Å, b = 6.875 Å, c = 6.875 Å, α = 90.00°, β = 90.00° and γ = 90.00°. The distinct sites, in fractional coordinates, are K at (0.000, 0.000, 0.500), Cd at (0.500, 0.500, 0.500) and Bi at (0.000, 0.000, 0.000).

Its electronic total energy is -8.56 eV per formula unit.

---

Record 6
Below is crystalline KLiCdBi2 at its relaxed geometry, with properties calculated at the PBE level.

It has space group I-4m2 (No. 119), with a = 5.100 Å, b = 5.100 Å, c = 12.426 Å, α = 90.00°, β = 90.00° and γ = 90.00°. The distinct sites, in fractional coordinates, are K at (0.000, 0.000, 0.000), Li at (0.000, 0.500, 0.250), Cd at (0.000, 0.500, 0.750) and Bi at (0.000, 0.000, 0.376).

Its electronic total energy is -13.23 eV per formula unit.

---

Record 7
Below is crystalline K2LiCd3Bi4 at its relaxed geometry, with properties calculated at the PBE level.

It has space group P-4m2 (No. 115), with a = 5.083 Å, b = 5.083 Å, c = 12.586 Å, α = 90.00°, β = 90.00° and γ = 90.00°. The distinct sites, in fractional coordinates, are K at (0.000, 0.500, 0.239), Li at (0.500, 0.500, 0.000), Cd at (0.000, 0.000, 0.000), Cd at (0.000, 0.500, 0.644), Bi at (0.000, 0.000, 0.500), Bi at (0.000, 0.500, 0.873) and Bi at (0.500, 0.500, 0.500).

Its electronic total energy is -25.21 eV per formula unit.

---

Record 8
Below is crystalline KLiCdBi at its relaxed geometry, with properties calculated at the PBE level.

It has space group F-43m (No. 216), with a = 7.734 Å, b = 7.734 Å, c = 7.734 Å, α = 90.00°, β = 90.00° and γ = 90.00°. The distinct sites, in fractional coordinates, are K at (0.000, 0.000, 0.000), Li at (0.250, 0.250, 0.250), Cd at (0.250, 0.250, 0.750) and Bi at (0.000, 0.000, 0.500).

Its electronic total energy is -8.53 eV per formula unit.